Zn2MoP | meta-GGA SCAN | PBEsol geometry

Cell: 8.8872 2.6860 4.7716 Å, 90.00 94.46 90.00°
Space group Cm (No. 8)
Inequivalent atoms, fractional coordinates:
Zn  0.0000  0.0000  0.0000 [2 per cell]
Zn  0.2449  0.5000  0.1939 [2 per cell]
Mo  0.2674  0.0000  0.6972 [2 per cell]
P  0.0313  0.5000  0.5346 [2 per cell]

Computed properties:
DFT formation energy (eV/atom): 0.11
Volume (Å³/atom): 14.19
Total moment (μB/cell): 0.000
DOS at the Fermi energy (states/eV per cell): 3.92

=====

ZnMoP | meta-GGA SCAN | PBEsol geometry

Cell: 5.7572 5.7572 5.7572 Å, 90.00 90.00 90.00°
Space group F-43m (No. 216)
Inequivalent atoms, fractional coordinates:
Zn  0.0000  0.0000  0.0000 [4 per cell]
Mo  0.2500  0.2500  0.7500 [4 per cell]
P  0.2500  0.2500  0.2500 [4 per cell]

Computed properties:
DFT formation energy (eV/atom): 0.91
Volume (Å³/atom): 15.90
Total moment (μB/cell): 10.388
DOS at the Fermi energy (states/eV per cell): 7.70

=====

ZnMoP | meta-GGA SCAN | PBEsol geometry

Cell: 3.9872 3.9872 3.2517 Å, 90.00 90.00 120.00°
Space group P-6m2 (No. 187)
Inequivalent atoms, fractional coordinates:
Zn  0.0000  0.0000  0.0000 [1 per cell]
Mo  0.3333  0.6667  0.5000 [1 per cell]
P  0.6667  0.3333  0.5000 [1 per cell]

Computed properties:
DFT formation energy (eV/atom): 0.05
Volume (Å³/atom): 14.92
Total moment (μB/cell): 0.000
DOS at the Fermi energy (states/eV per cell): 1.13

=====

ZrMoP4 | meta-GGA SCAN | PBEsol geometry

Cell: 7.0238 7.0238 7.0238 Å, 90.00 90.00 90.00°
Space group F-43m (No. 216)
Inequivalent atoms, fractional coordinates:
Zr  0.0000  0.0000  0.0000 [4 per cell]
Mo  0.2500  0.2500  0.7500 [4 per cell]
P  0.1244  0.1244  0.3756 [16 per cell]

Computed properties:
DFT formation energy (eV/atom): 0.39
Volume (Å³/atom): 14.44
Total moment (μB/cell): 0.000
DOS at the Fermi energy (states/eV per cell): 13.71